Record 1
Entry from Alexandria via LeMat-Bulk: La4Tc5 after structural relaxation (PBE-GGA).

Cell: 7.764 7.764 7.764 Å, 92.56 92.56 155.60°
Sites, in units of the cell vectors:
La 0.000 0.302 0.302
La 0.000 0.698 0.698
La 0.302 0.000 0.302
La 0.698 0.000 0.698
Tc 0.000 0.000 0.000
Tc 0.328 0.328 0.657
Tc 0.328 0.672 0.000
Tc 0.672 0.328 0.000
Tc 0.672 0.672 0.343

=====

Record 2
Entry from Alexandria via LeMat-Bulk: LaTc after structural relaxation (PBE-GGA).

Cell: 8.116 8.116 8.116 Å, 29.68 29.68 29.68°
Sites, in units of the cell vectors:
La 0.090 0.090 0.090
La 0.910 0.910 0.910
Tc 0.346 0.346 0.346
Tc 0.654 0.654 0.654

=====

no.,distance to the lowest polymorph of the same formula (kJ/mol of atoms),magnetic moment (μB per cell)
1,0.0,0.0
2,0.0,0.0